The following is a DFT calculation (GGA-PBE) of a geometry-optimized ZnMoAu2 structure.

extended XYZ file:
```
4
Lattice="2.8396 0.0000 0.0000 0.0000 4.8652 0.0000 0.0000 0.0000 4.8711" Properties=species:S:1:pos:R:3 pbc="T T T"
Mo 1.4198 0.0000 2.4355
Au 0.0000 0.0000 0.0000
Au 1.4198 2.4326 0.0000
Zn 0.0000 2.4326 2.4355
```

Computed properties:
N(E_F)   0.725 states/eV per atom
Calculated density   13.7 g/cm³
Space-group type   Pmmm
ΔH_f (0 K)   0.29 eV/atom